1.
Density functional theory data (meta-GGA SCAN) for Ca2MnPt at its PBEsol-relaxed geometry.

Its formation energy from the elements is -0.3375 eV per atom. The total energy is -27.281 eV/atom. The calculation puts the total magnetic moment at 1.138 μB/atom. The theoretical density comes out at 6.8 g cm⁻³. The space-group type is I-4m2, No. 119.

Geometry as POSCAR:
```
Ca2MnPt
1.0
-2.052 -1.598 -4.074
4.331 -0.097 -2.143
-0.695 -2.393 4.155
Pt Ca Mn
1 2 1
Direct
0.250 0.750 0.500
0.000 0.000 0.000
0.750 0.250 0.500
0.500 0.500 0.000
```

***

2.
Density functional theory data (meta-GGA SCAN) for HfIn3Ag at its PBEsol-relaxed geometry.

Its formation energy from the elements is 0.7919 eV per atom. The total energy is -38.048 eV/atom. The calculation puts the total magnetic moment at 0.000 μB/atom. For the relative energy among the computed polymorphs, the calculation gives 23 meV per atom. The theoretical density comes out at 6.5 g cm⁻³. The space-group type is Pm-3m, No. 221.

Geometry as POSCAR:
```
HfIn3Ag
1.0
5.438 0.000 0.000
0.000 5.438 0.000
0.000 0.000 5.438
In Hf Ag
3 1 1
Direct
0.000 0.000 0.500
0.500 0.000 0.000
0.000 0.500 0.000
0.000 0.000 0.000
0.500 0.500 0.500
```

***

3.
Density functional theory data (meta-GGA SCAN) for SrTi2Si2 at its PBEsol-relaxed geometry.

The total energy is -15.321 eV/atom. The calculation puts the total magnetic moment at 0.001 μB/atom. The theoretical density comes out at 3.9 g cm⁻³. The space-group type is I4/mmm, No. 139.

Geometry as POSCAR:
```
SrTi2Si2
1.0
4.213 0.000 0.000
0.000 4.213 0.000
-2.107 -2.107 5.688
Ti Si Sr
2 2 1
Direct
0.250 0.750 0.500
0.750 0.250 0.500
0.619 0.619 0.238
0.381 0.381 0.762
0.000 0.000 0.000
```

***

4.
Density functional theory data (meta-GGA SCAN) for NaHWO2 at its PBEsol-relaxed geometry.

The total energy is -19.306 eV/atom. The calculation puts the total magnetic moment at 0.000 μB/atom. The theoretical density comes out at 7.2 g cm⁻³. The space-group type is P4/mmm, No. 123.

Geometry as POSCAR:
```
NaHWO2
1.0
-0.952 3.214 -1.461
-2.786 -1.767 -2.071
-2.527 0.574 2.909
O H Na W
2 1 1 1
Direct
0.000 0.500 0.000
0.000 0.000 0.500
0.500 0.000 0.000
0.500 0.500 0.500
0.000 0.000 0.000
```

***

5.
Density functional theory data (meta-GGA SCAN) for SrAl2Te at its PBEsol-relaxed geometry.

The total energy is -19.113 eV/atom. The calculation puts the total magnetic moment at 0.000 μB/atom. The theoretical density comes out at 4.2 g cm⁻³. The space-group type is Pm, No. 6.

Geometry as POSCAR:
```
SrAl2Te
1.0
4.003 0.000 0.000
0.000 4.319 0.014
0.000 -0.574 6.189
Sr Al Te
1 2 1
Direct
0.000 0.602 0.475
0.000 0.164 0.890
0.500 0.659 0.885
0.500 0.074 0.250
```

***

6.
Density functional theory data (meta-GGA SCAN) for Li4Ti2Mn3Fe3O16 at its PBEsol-relaxed geometry.

The total energy is -11.259 eV/atom. The calculation puts the total magnetic moment at 0.392 μB/atom. The theoretical density comes out at 4.6 g cm⁻³. The space-group type is Cm, No. 8.

Geometry as POSCAR:
```
Li4Ti2Mn3Fe3O16
1.0
-4.370 1.918 -2.977
0.094 -0.257 -5.618
-3.924 -8.458 0.330
Li O Fe Mn Ti
4 16 3 3 2
Direct
0.334 0.335 0.105
0.996 0.997 0.506
0.999 0.999 0.002
0.668 0.668 0.605
0.332 0.835 0.900
0.999 0.999 0.694
0.998 0.999 0.191
0.483 0.483 0.662
0.332 0.332 0.898
0.480 0.036 0.663
0.669 0.165 0.399
0.164 0.165 0.402
0.036 0.480 0.663
0.515 0.965 0.163
0.519 0.519 0.165
0.165 0.669 0.399
0.664 0.664 0.396
0.835 0.332 0.900
0.835 0.835 0.897
0.965 0.515 0.163
0.653 0.177 0.786
0.177 0.652 0.786
0.826 0.826 0.285
0.173 0.172 0.784
0.342 0.831 0.285
0.831 0.342 0.285
0.671 0.671 0.004
0.337 0.337 0.508
```

***

7.
Density functional theory data (meta-GGA SCAN) for Mg5Sc4 at its PBEsol-relaxed geometry.

Its formation energy from the elements is -0.0344 eV per atom. The total energy is -9.125 eV/atom. The calculation puts the total magnetic moment at 0.196 μB/atom. For the relative energy among the computed polymorphs, the calculation gives 0 meV per atom. The theoretical density comes out at 2.4 g cm⁻³. The space-group type is I4/mmm, No. 139.

Geometry as POSCAR:
```
Mg5Sc4
1.0
-1.871 -4.273 0.326
5.139 -4.745 0.820
-1.354 -1.450 6.757
Mg Sc
5 4
Direct
0.666 0.000 0.668
0.000 0.000 0.000
0.334 0.332 0.000
0.666 0.668 0.000
0.334 0.000 0.332
0.000 0.665 0.335
0.335 0.665 0.665
0.665 0.335 0.335
0.000 0.335 0.665
```

***

8.
Density functional theory data (meta-GGA SCAN) for Ca2WCl at its PBEsol-relaxed geometry.

The total energy is -23.891 eV/atom. The calculation puts the total magnetic moment at 0.763 μB/atom. The theoretical density comes out at 4.9 g cm⁻³. The space-group type is P4mm, No. 99.

Geometry as POSCAR:
```
Ca2WCl
1.0
4.093 0.000 0.000
0.000 4.093 0.000
0.000 0.000 6.070
Ca Cl W
2 1 1
Direct
0.500 0.500 0.342
0.000 0.000 0.925
0.000 0.000 0.389
0.500 0.500 0.843
```

***

> The highest total magnetic moment belongs to which entry?

Ca2MnPt

***

> What is the formula in the fourth record?

NaHWO2

***

> Among the records above, which one has the lowest theoretical density?

Mg5Sc4